Arrangement A

Below is MgIn8 after structural relaxation, with properties calculated at the PBE level. Values from VASP.

Values from the calculation:
Space group: I4/mmm
Spin magnetization (μB per atom): 0.000

Geometry as Quantum ESPRESSO input:
```
&SYSTEM
  ibrav = 0, nat = 9, ntyp = 2
/
ATOMIC_SPECIES
Mg 24.30 Mg.upf
In 114.82 In.upf
CELL_PARAMETERS angstrom
-4.969 4.969 2.385
4.969 -4.969 2.385
4.969 4.969 -2.385
ATOMIC_POSITIONS angstrom
Mg 0.000 0.000 0.000
In 3.282 0.000 0.000
In 6.656 0.000 0.000
In 0.000 3.282 0.000
In 3.330 3.330 0.000
In 1.639 -1.639 2.385
In -1.639 1.639 2.385
In 1.639 1.639 2.385
In 0.000 6.656 0.000
```


Arrangement B

Below is MgIn8 after structural relaxation, with properties calculated at the PBE level. Values from VASP.

Values from the calculation:
Space group: I4/mmm
Spin magnetization (μB per atom): 0.000

Geometry as Quantum ESPRESSO input:
```
&SYSTEM
  ibrav = 0, nat = 9, ntyp = 2
/
ATOMIC_SPECIES
Mg 24.30 Mg.upf
In 114.82 In.upf
CELL_PARAMETERS angstrom
-5.711 5.711 1.842
5.711 -5.711 1.842
5.711 5.711 -1.842
ATOMIC_POSITIONS angstrom
Mg 0.000 0.000 0.000
In 3.783 0.000 0.000
In 7.638 0.000 0.000
In 0.000 3.783 0.000
In 3.831 3.831 0.000
In 1.880 -1.880 1.842
In -1.880 1.880 1.842
In 1.880 1.880 1.842
In 0.000 7.638 0.000
```


If we sort the structures by their calculated energies, the order from most to least stable is arrangement A, arrangement B.